{"formula": "CaSeSCl2", "functional": "meta-GGA SCAN", "state": "PBEsol geometry", "raw_formation_energy_ev_per_atom": -0.57, "lattice_angstrom": [[-1.380, -4.819, 0.234], [4.816, -1.390, -0.232], [0.323, 0.180, 5.616]], "species": ["Se", "Cl", "Cl", "S", "Ca"], "frac_coords": [[0.500, 0.500, 0.500], [0.500, 0.000, 0.000], [0.000, 0.500, 0.000], [0.000, 0.000, 0.500], [0.000, 0.000, 0.000]]}

{"formula": "ZrNiP4", "functional": "meta-GGA SCAN", "state": "PBEsol geometry", "final_energy_ev_per_atom": -14.46, "lattice_angstrom": [[-2.426, -2.086, 3.746], [-2.313, -4.300, -0.653], [1.764, -4.090, 2.104]], "species": ["P", "P", "P", "P", "Ni", "Zr"], "frac_coords": [[0.372, 0.372, 0.883], [0.883, 0.372, 0.372], [0.372, 0.372, 0.372], [0.372, 0.883, 0.372], [0.000, 0.000, 0.000], [0.750, 0.750, 0.750]]}

{"formula": "YBe2Cr2", "functional": "meta-GGA SCAN", "state": "PBEsol geometry", "final_energy_ev_per_atom": -14.22, "lattice_angstrom": [[-0.305, 3.345, -2.312], [-3.454, -1.436, -1.623], [-0.323, 0.932, 4.985]], "species": ["Cr", "Cr", "Be", "Be", "Y"], "frac_coords": [[0.384, 0.384, 0.769], [0.616, 0.616, 0.231], [0.250, 0.750, 0.500], [0.750, 0.250, 0.500], [0.000, 0.000, 0.000]]}

{"formula": "HfGaIN2", "functional": "meta-GGA SCAN", "state": "PBEsol geometry", "raw_formation_energy_ev_per_atom": 1.28, "lattice_angstrom": [[3.992, 0.000, 0.000], [0.000, 3.992, 0.000], [0.000, 0.000, 5.110]], "species": ["N", "N", "Ga", "Hf", "I"], "frac_coords": [[0.500, 0.000, 0.000], [0.000, 0.500, 0.000], [0.000, 0.000, 0.000], [0.500, 0.500, 0.500], [0.000, 0.000, 0.500]]}

{"formula": "CrFe3", "functional": "meta-GGA SCAN", "state": "PBEsol geometry", "final_energy_ev_per_atom": -18.16, "lattice_angstrom": [[2.403, 0.000, -0.007], [0.000, 3.943, 0.000], [-0.842, 0.000, 4.570]], "species": ["Cr", "Fe", "Fe", "Fe"], "frac_coords": [[0.000, 0.000, 0.000], [0.248, 0.500, 0.750], [0.752, 0.500, 0.250], [0.500, 0.000, 0.500]]}

{"formula": "K2AgSb", "functional": "meta-GGA SCAN", "state": "PBEsol geometry", "raw_formation_energy_ev_per_atom": -0.38, "lattice_angstrom": [[-4.457, 1.373, -1.414], [-0.072, -4.350, -3.997], [0.380, -1.378, 5.860]], "species": ["K", "K", "Sb", "Ag"], "frac_coords": [[0.974, 0.974, 0.949], [0.783, 0.283, 0.567], [0.568, 0.568, 0.135], [0.174, 0.674, 0.349]]}

{"formula": "TlReSn3", "functional": "meta-GGA SCAN", "state": "PBEsol geometry", "final_energy_ev_per_atom": -49.87, "lattice_angstrom": [[5.172, 0.000, 0.000], [0.000, 5.172, 0.000], [0.000, 0.000, 5.172]], "species": ["Tl", "Sn", "Sn", "Sn", "Re"], "frac_coords": [[0.500, 0.500, 0.500], [0.000, 0.500, 0.000], [0.500, 0.000, 0.000], [0.000, 0.000, 0.500], [0.000, 0.000, 0.000]]}

{"formula": "InPbW", "functional": "meta-GGA SCAN", "state": "PBEsol geometry", "final_energy_ev_per_atom": -57.99, "lattice_angstrom": [[4.711, 0.000, 0.000], [2.355, 4.080, 0.000], [2.355, 1.360, 3.846]], "species": ["Pb", "W", "In"], "frac_coords": [[0.000, 0.000, 0.000], [0.500, 0.500, 0.500], [0.250, 0.250, 0.250]]}

Number 1: magnetization 1.2 μB/cell. Number 2: magnetization 0.0 μB/cell. Number 3: magnetization 0.0 μB/cell. Number 4: magnetization 0.5 μB/cell. Number 5: magnetization 6.1 μB/cell. Number 6: magnetization 0.0 μB/cell. Number 7: magnetization 0.9 μB/cell. Number 8: magnetization 1.7 μB/cell.